Entry A
Below is a crystal of LiCu2Tc relaxed with PBEsol, with properties calculated at the SCAN level.

Unit cell a=2.455 b=4.588 c=4.588 alpha=105.70 beta=90.00 gamma=90.00
Element x y z (fractional)
Tc: 0.500 0.000 0.000
Li: 0.500 0.500 0.500
Cu: 0.000 0.500 0.000
Cu: 0.000 0.000 0.500

Output
V ... 12.43 Å³ per atom
DOS at the Fermi energy ... 0.311 states/eV/atom

***

Entry B
Below is a crystal of LiCu2Tc relaxed with PBEsol, with properties calculated at the SCAN level.

Unit cell a=4.128 b=4.128 c=4.128 alpha=60.00 beta=60.00 gamma=60.00
Element x y z (fractional)
Cu: 0.250 0.250 0.250
Cu: 0.750 0.750 0.750
Tc: 0.500 0.500 0.500
Li: 0.000 0.000 0.000

Output
V ... 12.43 Å³ per atom
DOS at the Fermi energy ... 0.331 states/eV/atom

***

On energetic grounds, entry A is preferred over the next structure by 0.238 eV/atom.

***

Entry A
Below is a crystal of LiZnCu relaxed with PBEsol, with properties calculated at the SCAN level.

Unit cell a=2.611 b=2.611 c=6.504 alpha=90.00 beta=90.00 gamma=120.00
Element x y z (fractional)
Li: 0.333 0.667 0.675
Cu: 0.000 0.000 0.999
Zn: 0.667 0.333 0.325

Output
V ... 12.80 Å³ per atom
DOS at the Fermi energy ... 0.369 states/eV/atom

***

Entry B
Below is a crystal of LiZnCu relaxed with PBEsol, with properties calculated at the SCAN level.

Unit cell a=2.542 b=3.837 c=4.488 alpha=115.30 beta=106.45 gamma=90.00
Element x y z (fractional)
Cu: 0.995 0.995 0.990
Zn: 0.339 0.339 0.678
Li: 0.666 0.666 0.332

Output
V ... 12.53 Å³ per atom
DOS at the Fermi energy ... 0.286 states/eV/atom

***

On energetic grounds, entry B is preferred over the next structure by 0.077 eV/atom.